Entry 1:
# Nd2Sc2CI3Br2

Crystalline Nd2Sc2CI3Br2 at its relaxed geometry (PBE, OQMD).

Summary:
For the energy above the most stable polymorph in this dataset, the calculation gives 60 kJ/mol of formula units. As for the calculated density: 5.3 g/cm³. For the total energy, the calculation gives -5.091 eV per atom. The total magnetization comes out at 0.1 μB/f.u.

Unit cell a=18.2155 b=3.8921 c=8.3931 alpha=90.00 beta=103.72 gamma=90.00
With the nearest neighbours (Å) after each atom.
Space group C2/m (No. 12)
Asymmetric unit:
Nd  0.1392  0.0000  0.0674 x4  1 C 2.46
Sc  0.0000  0.5000  0.1785 x4  2 C 2.46
C  0.0000  0.0000  0.0000 x2  4 Sc 2.46, 2 Nd 2.46
I  0.0000  0.0000  0.5000 x2  4 Sc 3.33
I  0.1621  0.5000  0.3620 x4  1 Sc 2.99, 2 Nd 3.10
Br  0.1589  0.5000  0.8147 x4  1 Sc 2.91, 2 Nd 2.96



Entry 2:
# AlP6W

Crystalline AlP6W at its relaxed geometry (PBE, OQMD).

Summary:
As for the calculated density: 4.7 g/cm³. For the total energy, the calculation gives -5.240 eV per atom. The total magnetization comes out at 1.7 μB/f.u.

Unit cell a=8.2457 b=8.2457 c=8.2457 alpha=90.00 beta=90.00 gamma=90.00
With the nearest neighbours (Å) after each atom.
Space group F-43m (No. 216)
Asymmetric unit:
Al  0.0000  0.0000  0.0000 x4  6 P 2.35
P  0.0000  0.0000  0.2844 x24  1 Al 2.35, 4 P 2.51
W  0.2500  0.2500  0.7500 x4  12 P 2.93



Entry 3:
# PmThPd

Crystalline PmThPd at its relaxed geometry (PBE, OQMD).

Summary:
For the energy above the most stable polymorph in this dataset, the calculation gives 0 kJ/mol of formula units. As for the calculated density: 9.1 g/cm³. For the total energy, the calculation gives -6.018 eV per atom. For the formation energy, the calculation gives -240 meV per atom. The total magnetization comes out at 0.0 μB/f.u.

Unit cell a=7.0714 b=7.0714 c=7.0714 alpha=90.00 beta=90.00 gamma=90.00
With the nearest neighbours (Å) after each atom.
Space group F-43m (No. 216)
Asymmetric unit:
Pm  0.0000  0.0000  0.0000 x4  4 Pd 3.06
Th  0.0000  0.0000  0.5000 x4  4 Pd 3.06
Pd  0.2500  0.2500  0.2500 x4  4 Th 3.06, 4 Pm 3.06



Entry 4:
# PW3

Crystalline PW3 at its relaxed geometry (PBE, OQMD).

Summary:
As for the calculated density: 16.3 g/cm³. For the total energy, the calculation gives -11.197 eV per atom. The total magnetization comes out at 0.0 μB/f.u.

Unit cell a=9.8743 b=9.8743 c=4.8553 alpha=90.00 beta=90.00 gamma=90.00
With the nearest neighbours (Å) after each atom.
Space group I-42m (No. 121)
Asymmetric unit:
P  0.0000  0.2920  0.0000 x8  8 W 2.44-2.53
W  0.0000  0.3542  0.5000 x8  4 P 2.50-2.51
W  0.0939  0.0939  0.7320 x8  2 P 2.53, 2 W 2.62-2.82
W  0.1994  0.1994  0.2277 x8  2 P 2.44



Entry 5:
# YTe3PbAu

Crystalline YTe3PbAu at its relaxed geometry (PBE, OQMD).

Summary:
For the energy above the most stable polymorph in this dataset, the calculation gives 19 kJ/mol of formula units. As for the calculated density: 7.8 g/cm³. For the total energy, the calculation gives -4.498 eV per atom. The total magnetization comes out at 0.0 μB/f.u.

Unit cell a=19.9360 b=4.3030 c=8.8124 alpha=90.00 beta=101.07 gamma=90.00
With the nearest neighbours (Å) after each atom.
Space group C2/m (No. 12)
Asymmetric unit:
Y  0.1593  0.0000  0.0906 x4  6 Te 3.08-3.17, 2 Au 3.35
Te  0.0000  0.0000  0.0000 x2  4 Au 2.92, 2 Y 3.12
Te  0.0000  0.5000  0.5000 x2  2 Au 2.92, 4 Pb 3.24
Te  0.1789  0.5000  0.8533 x4  3 Y 3.08-3.17, 2 Pb 3.29
Te  0.1884  0.5000  0.3480 x4  1 Au 2.73
Pb  0.1234  0.0000  0.5755 x4  6 Te 3.24-3.37
Au  0.0529  0.5000  0.2136 x4  4 Te 2.73-2.92



Entry 6:
# RbErSeO

Crystalline RbErSeO at its relaxed geometry (PBE, OQMD).

Summary:
For the energy above the most stable polymorph in this dataset, the calculation gives 28 kJ/mol of formula units. As for the calculated density: 4.5 g/cm³. For the total energy, the calculation gives -5.655 eV per atom. The total magnetization comes out at 0.0 μB/f.u.

Unit cell a=4.5171 b=8.4489 c=6.7061 alpha=90.00 beta=90.00 gamma=90.00
With the nearest neighbours (Å) after each atom.
Space group Pmc2_1 (No. 26)
Asymmetric unit:
Rb  0.0000  0.2001  0.0000 x2  2 O 3.04, 2 Se 3.31-3.39
Er  0.5000  0.3835  0.4280 x2  2 O 2.08-2.10
Se  0.0000  0.2082  0.5061 x2  2 Er 2.75
O  0.5000  0.4223  0.1193 x2  2 Er 2.08-2.10



Entry 7:
# ErAgPbS3

Crystalline ErAgPbS3 at its relaxed geometry (PBE, OQMD).

Summary:
For the energy above the most stable polymorph in this dataset, the calculation gives 13 kJ/mol of formula units. As for the calculated density: 6.8 g/cm³. For the total energy, the calculation gives -4.933 eV per atom. The total magnetization comes out at 0.0 μB/f.u.

Unit cell a=7.4977 b=3.9936 c=9.7608 alpha=90.00 beta=106.13 gamma=90.00
With the nearest neighbours (Å) after each atom.
Space group P2_1/m (No. 11)
Asymmetric unit:
Er  0.1977  0.2500  0.1524 x2  6 S 2.70-2.87
Ag  0.3977  0.7500  0.4072 x2  3 S 2.51-2.57
Pb  0.2237  0.7500  0.6971 x2  7 S 3.04-3.18
S  0.0644  0.2500  0.8658 x2  3 Er 2.70-2.77
S  0.2015  0.2500  0.4478 x2  2 Ag 2.57, 1 Er 2.87
S  0.4457  0.7500  0.1631 x2  1 Ag 2.51, 2 Er 2.71



Entry 8:
# MgTaCoBi

Crystalline MgTaCoBi at its relaxed geometry (PBE, OQMD).

Summary:
For the energy above the most stable polymorph in this dataset, the calculation gives 9 kJ/mol of formula units. As for the calculated density: 10.6 g/cm³. For the total energy, the calculation gives -5.458 eV per atom. The total magnetization comes out at 2.1 μB/f.u.

Unit cell a=6.6633 b=6.6633 c=6.6633 alpha=90.00 beta=90.00 gamma=90.00
With the nearest neighbours (Å) after each atom.
Space group F-43m (No. 216)
Asymmetric unit:
Mg  0.0000  0.0000  0.0000 x4  4 Co 2.89, 4 Ta 2.89
Ta  0.2500  0.2500  0.2500 x4  4 Bi 2.89, 4 Mg 2.89
Co  0.2500  0.2500  0.7500 x4  4 Bi 2.89, 4 Mg 2.89
Bi  0.0000  0.0000  0.5000 x4  4 Ta 2.89, 4 Co 2.89



Entry 9:
# CdAg2SnSeS3

Crystalline CdAg2SnSeS3 at its relaxed geometry (PBE, OQMD).

Summary:
As for the calculated density: 5.0 g/cm³. For the total energy, the calculation gives -3.654 eV per atom.

Unit cell a=8.3645 b=8.2694 c=7.3081 alpha=90.00 beta=124.61 gamma=90.00
With the nearest neighbours (Å) after each atom.
Space group Cm (No. 8)
Asymmetric unit:
Cd  0.0000  0.0000  0.0000 x2  3 S 2.59-2.60, 1 Se 2.69
Ag  0.4958  0.2374  0.4829 x4  3 S 2.55-2.56, 1 Se 2.67
Sn  0.0077  0.5000  0.9972 x2  3 S 2.45-2.46, 1 Se 2.58
Se  0.1337  0.0000  0.7414 x2  1 Sn 2.58, 2 Ag 2.67, 1 Cd 2.69
S  0.1240  0.5000  0.7554 x2  1 Sn 2.45, 2 Ag 2.56, 1 Cd 2.59
S  0.1265  0.2610  0.2408 x4  1 Sn 2.46, 2 Ag 2.55, 1 Cd 2.60



Entry 10:
# PuCdRe

Crystalline PuCdRe at its relaxed geometry (PBE, OQMD).

Summary:
For the energy above the most stable polymorph in this dataset, the calculation gives 0 kJ/mol of formula units. As for the calculated density: 13.0 g/cm³. For the total energy, the calculation gives -8.497 eV per atom. For the formation energy, the calculation gives 651 meV per atom. The total magnetization comes out at 3.9 μB/f.u.

Unit cell a=6.5236 b=6.5236 c=6.5236 alpha=90.00 beta=90.00 gamma=90.00
With the nearest neighbours (Å) after each atom.
Space group F-43m (No. 216)
Asymmetric unit:
Pu  0.0000  0.0000  0.0000 x4  4 Re 2.82
Cd  0.0000  0.0000  0.5000 x4  4 Re 2.82
Re  0.2500  0.2500  0.2500 x4  4 Cd 2.82, 4 Pu 2.82



Entry 11:
# BaLuSn

Crystalline BaLuSn at its relaxed geometry (PBE, OQMD).

Summary:
As for the calculated density: 6.1 g/cm³. For the total energy, the calculation gives -3.700 eV per atom. The total magnetization comes out at 0.0 μB/f.u.

Unit cell a=7.7507 b=7.7507 c=7.7507 alpha=90.00 beta=90.00 gamma=90.00
With the nearest neighbours (Å) after each atom.
Space group F-43m (No. 216)
Asymmetric unit:
Ba  0.0000  0.0000  0.0000 x4  4 Sn 3.36
Lu  0.0000  0.0000  0.5000 x4  4 Sn 3.36
Sn  0.2500  0.2500  0.2500 x4  4 Ba 3.36, 4 Lu 3.36



Entry 12:
# HfSiOs

Crystalline HfSiOs at its relaxed geometry (PBE, OQMD).

Summary:
As for the calculated density: 14.0 g/cm³. For the total energy, the calculation gives -9.728 eV per atom. The total magnetization comes out at 0.0 μB/f.u.

Unit cell a=7.4151 b=11.4688 c=6.6602 alpha=90.00 beta=90.00 gamma=90.00
With the nearest neighbours (Å) after each atom.
Space group Ima2 (No. 46)
Asymmetric unit:
Hf  0.2500  0.0030  0.0000 x4  5 Si 2.71-2.75, 4 Os 2.89-2.96
Hf  0.2500  0.2205  0.3550 x4  5 Si 2.71-2.74, 2 Os 2.89
Hf  0.2500  0.6978  0.8778 x4  5 Si 2.71-2.92, 6 Os 2.86-2.94
Si  0.0062  0.6674  0.5786 x8  3 Os 2.54-2.56, 6 Hf 2.71-2.74
Si  0.2500  0.0255  0.5887 x4  6 Os 2.47-2.53, 2 Hf 2.72-2.75
Os  0.0000  0.0000  0.3334 x4  4 Si 2.53-2.56
Os  0.0266  0.6244  0.2046 x8  4 Si 2.47-2.54



Entry 13:
# NdHf2In

Crystalline NdHf2In at its relaxed geometry (PBE, OQMD).

Summary:
As for the calculated density: 10.5 g/cm³. For the total energy, the calculation gives -6.875 eV per atom. The total magnetization comes out at 0.0 μB/f.u.

Unit cell a=4.6060 b=4.6060 c=4.5781 alpha=90.00 beta=90.00 gamma=90.00
With the nearest neighbours (Å) after each atom.
Space group P4/mmm (No. 123)
Asymmetric unit:
Nd  0.0000  0.0000  0.0000 x1  8 Hf 3.25, 4 In 3.26
Hf  0.0000  0.5000  0.5000 x2  4 In 3.25, 4 Nd 3.25, 4 Hf 3.26
In  0.5000  0.5000  0.0000 x1  8 Hf 3.25, 4 Nd 3.26



Entry 14:
# BaTmMg

Crystalline BaTmMg at its relaxed geometry (PBE, OQMD).

Summary:
For the energy above the most stable polymorph in this dataset, the calculation gives 0 kJ/mol of formula units. As for the calculated density: 4.3 g/cm³. For the total energy, the calculation gives -2.200 eV per atom. The total magnetization comes out at 0.0 μB/f.u.

Unit cell a=7.9741 b=7.9741 c=7.9741 alpha=90.00 beta=90.00 gamma=90.00
With the nearest neighbours (Å) after each atom.
Space group F-43m (No. 216)
Asymmetric unit:
Ba  0.0000  0.0000  0.0000 x4  4 Mg 3.45
Tm  0.0000  0.0000  0.5000 x4  4 Mg 3.45
Mg  0.2500  0.2500  0.2500 x4  4 Ba 3.45, 4 Tm 3.45



Entry 15:
# NdOsPd

Crystalline NdOsPd at its relaxed geometry (PBE, OQMD).

Summary:
For the energy above the most stable polymorph in this dataset, the calculation gives 0 kJ/mol of formula units. As for the calculated density: 10.7 g/cm³. For the total energy, the calculation gives -6.615 eV per atom. For the formation energy, the calculation gives 440 meV per atom. The total magnetization comes out at 1.0 μB/f.u.

Unit cell a=6.4873 b=6.4873 c=6.4873 alpha=90.00 beta=90.00 gamma=90.00
With the nearest neighbours (Å) after each atom.
Space group F-43m (No. 216)
Asymmetric unit:
Nd  0.0000  0.0000  0.0000 x4  4 Os 2.81
Os  0.2500  0.2500  0.2500 x4  4 Pd 2.81, 4 Nd 2.81
Pd  0.0000  0.0000  0.5000 x4  4 Os 2.81



Entry 16:
# TcTe2

Crystalline TcTe2 at its relaxed geometry (PBE, OQMD).

Summary:
As for the calculated density: 8.5 g/cm³. For the total energy, the calculation gives -5.487 eV per atom. The total magnetization comes out at 0.0 μB/f.u.

Unit cell a=6.5228 b=6.5228 c=6.5228 alpha=90.00 beta=90.00 gamma=90.00
With the nearest neighbours (Å) after each atom.
Space group Fm-3m (No. 225)
Asymmetric unit:
Tc  0.0000  0.0000  0.0000 x4  8 Te 2.82
Te  0.2500  0.2500  0.2500 x8  4 Tc 2.82



Entry 17:
# Sm2YBi3

Crystalline Sm2YBi3 at its relaxed geometry (PBE, OQMD).

Summary:
As for the calculated density: 8.7 g/cm³. For the total energy, the calculation gives -5.604 eV per atom. The total magnetization comes out at 0.0 μB/f.u.

Unit cell a=4.5044 b=4.5044 c=11.0492 alpha=90.00 beta=90.00 gamma=120.00
With the nearest neighbours (Å) after each atom.
Space group P-3m1 (No. 164)
Asymmetric unit:
Sm  0.3333  0.6667  0.3320 x2  6 Bi 3.19-3.20
Y  0.0000  0.0000  0.0000 x1  6 Bi 3.16
Bi  0.0000  0.0000  0.5000 x1  6 Sm 3.19
Bi  0.3333  0.6667  0.8368 x2  3 Y 3.16, 3 Sm 3.20



Entry 18:
# Cs2Pd3O4

Crystalline Cs2Pd3O4 at its relaxed geometry (PBE, OQMD).

Summary:
As for the calculated density: 6.0 g/cm³. For the total energy, the calculation gives -4.892 eV per atom.

Unit cell a=5.8597 b=9.6003 c=12.7618 alpha=90.00 beta=90.00 gamma=90.00
With the nearest neighbours (Å) after each atom.
Space group Fmmm (No. 69)
Asymmetric unit:
Cs  0.0000  0.0000  0.1710 x8  8 O 3.29-3.48, 2 Cs 3.56, 6 Pd 3.56-3.65
Pd  0.0000  0.0000  0.5000 x4  4 O 2.07
Pd  0.2500  0.2500  0.0000 x8  4 O 2.08
O  0.0000  0.1703  0.4006 x16  3 Pd 2.07-2.08



Entry 19:
# SrPrSi4Ni2

Crystalline SrPrSi4Ni2 at its relaxed geometry (PBE, OQMD).

Summary:
As for the calculated density: 5.3 g/cm³. For the total energy, the calculation gives -5.565 eV per atom. The total magnetization comes out at 0.0 μB/f.u.

Unit cell a=4.0657 b=4.2250 c=16.7520 alpha=90.00 beta=90.00 gamma=90.00
With the nearest neighbours (Å) after each atom.
Space group Amm2 (No. 38)
Asymmetric unit:
Sr  0.0000  0.0000  0.0000 x2  10 Si 3.14-3.27, 4 Ni 3.20
Pr  0.5000  0.0000  0.2148 x2  10 Si 3.11-3.26, 4 Ni 3.17
Si  0.0000  0.0000  0.3553 x2  4 Ni 2.33-2.40
Si  0.0000  0.0000  0.6487 x2  1 Ni 2.31, 2 Si 2.46
Si  0.5000  0.0000  0.5664 x2  1 Ni 2.40, 2 Si 2.46
Si  0.5000  0.0000  0.8550 x2  4 Ni 2.33-2.40
Ni  0.0000  0.0000  0.7868 x2  5 Si 2.31-2.40
Ni  0.5000  0.0000  0.4231 x2  5 Si 2.33-2.40



Entry 20:
# Cs3RbAu

Crystalline Cs3RbAu at its relaxed geometry (PBE, OQMD).

Summary:
For the energy above the most stable polymorph in this dataset, the calculation gives 0 kJ/mol of formula units. As for the calculated density: 2.9 g/cm³. For the total energy, the calculation gives -1.506 eV per atom.

Unit cell a=8.9179 b=10.4399 c=8.9296 alpha=90.00 beta=109.64 gamma=90.00
With the nearest neighbours (Å) after each atom.
Space group P2_1/m (No. 11)
Asymmetric unit:
Cs  0.2389  0.0003  0.2379 x4  2 Au 3.58
Cs  0.2413  0.2500  0.7557 x2  1 Au 3.61
Rb  0.2455  0.7500  0.7548 x2  1 Au 3.51
Au  0.0049  0.7500  0.9959 x2  1 Rb 3.51, 5 Cs 3.58-3.61